# 1
# Pr2Tc2N5

A geometry-optimized Pr2Tc2N5 structure (GGA-PBE, the Alexandria database).

```
Pr2Tc2N5
1.0
3.964 0.000 0.000
0.000 3.964 0.000
0.000 0.000 7.547
Pr Tc N
2 2 5
Direct
0.000 0.000 0.000 Pr
0.000 0.000 0.500 Pr
0.500 0.500 0.244 Tc
0.500 0.500 0.756 Tc
0.500 0.000 0.223 N
0.500 0.000 0.777 N
0.500 0.500 0.500 N
0.000 0.500 0.223 N
0.000 0.500 0.777 N
```

Crystal system ... tetragonal
M_tot ... 0.0 Bohr magnetons per cell
Uncorrected formation energy ... -5.60 eV per formula unit
Space group ... P4/mmm, No. 123
ΔE to the lowest computed polymorph ... 4 meV/atom

# 2
# BaCu2OsCl

A geometry-optimized BaCu2OsCl structure (GGA-PBE, the Alexandria database).

```
BaCu2OsCl
1.0
4.688 0.000 0.000
0.000 4.688 0.000
0.000 0.000 6.380
Os Ba Cu Cl
1 1 2 1
Direct
0.000 0.000 0.000 Os
0.000 0.000 0.500 Ba
0.000 0.500 0.000 Cu
0.500 0.000 0.000 Cu
0.500 0.500 0.500 Cl
```

Crystal system ... tetragonal
M_tot ... 1.5 Bohr magnetons per cell
Uncorrected formation energy ... 1.90 eV per formula unit
Space group ... P4/mmm, No. 123

# 3
# SrMg6GaAg

A geometry-optimized SrMg6GaAg structure (GGA-PBE, the Alexandria database).

```
SrMg6GaAg
1.0
7.678 0.000 0.000
0.000 9.795 0.000
-3.839 -4.898 6.259
Sr Mg Ga Ag
2 12 2 2
Direct
0.688 0.438 0.376 Sr
0.312 0.562 0.624 Sr
0.593 0.843 0.186 Mg
0.010 0.260 0.021 Mg
0.926 0.111 0.251 Mg
0.326 0.641 0.251 Mg
0.326 0.111 0.251 Mg
0.926 0.641 0.251 Mg
0.407 0.157 0.814 Mg
0.990 0.740 0.979 Mg
0.074 0.889 0.749 Mg
0.674 0.359 0.749 Mg
0.674 0.889 0.749 Mg
0.074 0.359 0.749 Mg
0.500 0.500 0.000 Ga
0.500 0.000 0.000 Ga
0.500 0.000 0.500 Ag
0.000 0.000 0.500 Ag
```

Crystal system ... orthorhombic
M_tot ... 0.0 Bohr magnetons per cell
Space group ... Imma, No. 74
Energy relative to the elements ... 0.05 eV per formula unit

# 4
# LiSiPd4

A geometry-optimized LiSiPd4 structure (GGA-PBE, the Alexandria database).

```
LiSiPd4
1.0
-0.200 1.570 4.610
-7.495 -0.009 -0.323
-0.134 -3.957 3.209
Li Si Pd
2 2 8
Direct
0.500 0.000 0.500 Li
0.000 0.500 0.500 Li
0.000 0.000 0.000 Si
0.500 0.500 0.000 Si
0.883 0.666 0.110 Pd
0.617 0.166 0.890 Pd
0.580 0.344 0.375 Pd
0.920 0.844 0.625 Pd
0.117 0.334 0.890 Pd
0.383 0.834 0.110 Pd
0.420 0.656 0.625 Pd
0.080 0.156 0.375 Pd
```

Crystal system ... monoclinic
M_tot ... 0.0 Bohr magnetons per cell
Uncorrected formation energy ... -2.65 eV per formula unit
Space group ... P2_1/c, No. 14
ΔE to the lowest computed polymorph ... 72 meV/atom

# 5
# Fe2PRu

A geometry-optimized Fe2PRu structure (GGA-PBE, the Alexandria database).

```
Fe2PRu
1.0
-6.070 4.871 0.617
-7.315 2.714 -0.279
-6.834 2.985 2.309
Fe P Ru
2 1 1
Direct
0.992 0.992 0.992 Fe
0.508 0.508 0.508 Fe
0.250 0.250 0.250 P
0.750 0.750 0.750 Ru
```

Crystal system ... trigonal
M_tot ... 1.2 Bohr magnetons per cell
Space group ... R-3m, No. 166
Energy relative to the elements ... -0.01 eV per formula unit

# 6
# Cs3HfTe4

A geometry-optimized Cs3HfTe4 structure (GGA-PBE, the Alexandria database).

```
Cs3HfTe4
1.0
-4.609 -6.728 -0.762
5.906 0.283 -5.668
3.928 0.183 7.185
Cs Hf Te
3 1 4
Direct
0.500 0.750 0.250 Cs
0.000 0.000 0.000 Cs
0.500 0.250 0.750 Cs
0.000 0.500 0.500 Hf
0.575 0.287 0.287 Te
0.000 0.287 0.713 Te
0.000 0.713 0.287 Te
0.425 0.713 0.713 Te
```

Crystal system ... tetragonal
M_tot ... 0.0 Bohr magnetons per cell
Uncorrected formation energy ... -5.49 eV per formula unit
Space group ... I4/mmm, No. 139

# 7
# ZrInW2

A geometry-optimized ZrInW2 structure (GGA-PBE, the Alexandria database).

```
ZrInW2
1.0
-0.464 2.606 1.025
0.660 -1.497 4.104
5.832 1.231 -0.489
In W Zr
1 2 1
Direct
0.500 0.500 0.754 In
0.000 0.000 0.018 W
0.500 0.500 0.235 W
0.000 0.000 0.492 Zr
```

Crystal system ... orthorhombic
M_tot ... 0.0 Bohr magnetons per cell
Space group ... Pmm2, No. 25
Energy relative to the elements ... 1.40 eV per formula unit

# 8
# NdErIn2

A geometry-optimized NdErIn2 structure (GGA-PBE, the Alexandria database).

```
NdErIn2
1.0
5.381 0.000 0.000
2.691 4.660 0.000
2.691 1.553 4.394
Nd Er In
1 1 2
Direct
0.500 0.500 0.500 Nd
0.000 0.000 0.000 Er
0.250 0.250 0.250 In
0.750 0.750 0.750 In
```

Crystal system ... cubic
M_tot ... 0.0 Bohr magnetons per cell
Space group ... Fm-3m, No. 225
ΔE to the lowest computed polymorph ... 7 meV/atom
Energy relative to the elements ... -1.87 eV per formula unit

# 9
# DyEr5Bi6

A geometry-optimized DyEr5Bi6 structure (GGA-PBE, the Alexandria database).

```
DyEr5Bi6
1.0
-5.255 1.106 -5.523
-5.708 -5.111 0.825
-6.110 1.721 4.367
Dy Er Bi
1 5 6
Direct
0.000 0.000 0.000 Dy
0.500 0.166 0.668 Er
0.000 0.333 0.334 Er
0.500 0.500 0.000 Er
0.000 0.667 0.666 Er
0.500 0.834 0.332 Er
0.749 0.084 0.335 Bi
0.251 0.582 0.335 Bi
0.250 0.251 0.000 Bi
0.750 0.749 0.000 Bi
0.749 0.418 0.665 Bi
0.251 0.916 0.665 Bi
```

Crystal system ... monoclinic
M_tot ... 0.0 Bohr magnetons per cell
Space group ... C2/m, No. 12
Energy relative to the elements ... -9.84 eV per formula unit

# 10
# Tb12PmHo7

A geometry-optimized Tb12PmHo7 structure (GGA-PBE, the Alexandria database).

```
Tb12PmHo7
1.0
-2.103 4.948 -8.175
-8.260 -3.485 3.919
4.376 5.975 6.394
Tb Pm Ho
12 1 7
Direct
0.492 0.746 0.746 Tb
0.000 0.746 0.254 Tb
0.508 0.254 0.254 Tb
0.000 0.254 0.746 Tb
0.746 0.000 0.254 Tb
0.746 0.492 0.746 Tb
0.254 0.000 0.746 Tb
0.254 0.508 0.254 Tb
0.746 0.746 0.492 Tb
0.254 0.254 0.508 Tb
0.746 0.254 0.000 Tb
0.254 0.746 0.000 Tb
0.000 0.000 0.000 Pm
0.500 0.500 0.000 Ho
0.000 0.500 0.500 Ho
0.500 0.000 0.500 Ho
0.500 0.500 0.500 Ho
0.000 0.000 0.500 Ho
0.500 0.000 0.000 Ho
0.000 0.500 0.000 Ho
```

Crystal system ... cubic
M_tot ... 0.0 Bohr magnetons per cell
Space group ... Im-3m, No. 229
ΔE to the lowest computed polymorph ... 405 meV/atom
Energy relative to the elements ... 14.04 eV per formula unit

# 11
# BaCd2CuRe

A geometry-optimized BaCd2CuRe structure (GGA-PBE, the Alexandria database).

```
BaCd2CuRe
1.0
-1.375 4.578 -2.406
-5.425 -1.216 0.787
0.120 2.517 4.721
Re Ba Cu Cd
1 1 1 2
Direct
0.000 0.000 0.000 Re
0.000 0.500 0.000 Ba
0.500 0.500 0.500 Cu
0.000 0.000 0.500 Cd
0.500 0.000 0.000 Cd
```

Crystal system ... tetragonal
M_tot ... 1.0 Bohr magnetons per cell
Space group ... P4/mmm, No. 123
Energy relative to the elements ... 5.26 eV per formula unit

# 12
# Pm6TlAg

A geometry-optimized Pm6TlAg structure (GGA-PBE, the Alexandria database).

```
Pm6TlAg
1.0
-2.604 2.604 9.183
2.604 -2.604 9.183
2.604 2.604 -9.183
Pm Tl Ag
6 1 1
Direct
0.250 0.250 0.000 Pm
0.889 0.389 0.500 Pm
0.389 0.889 0.500 Pm
0.111 0.611 0.500 Pm
0.750 0.750 0.000 Pm
0.611 0.111 0.500 Pm
0.500 0.500 0.000 Tl
0.000 0.000 0.000 Ag
```

Crystal system ... tetragonal
M_tot ... 0.0 Bohr magnetons per cell
Space group ... I4/mmm, No. 139
Energy relative to the elements ... -1.15 eV per formula unit

# 13
# PRu2Br

A geometry-optimized PRu2Br structure (GGA-PBE, the Alexandria database).

```
PRu2Br
1.0
3.016 -0.006 0.000
-0.642 2.946 0.000
0.000 0.000 7.061
Br P Ru
1 1 2
Direct
0.500 0.500 0.250 Br
0.500 0.500 0.750 P
0.000 0.000 0.941 Ru
0.000 0.000 0.559 Ru
```

Crystal system ... orthorhombic
M_tot ... 0.0 Bohr magnetons per cell
Uncorrected formation energy ... 0.87 eV per formula unit
Space group ... Cmmm, No. 65
ΔE to the lowest computed polymorph ... 322 meV/atom

# 14
# Ce2ErIn2Ag2

A geometry-optimized Ce2ErIn2Ag2 structure (GGA-PBE, the Alexandria database).

```
Ce2ErIn2Ag2
1.0
4.771 0.000 0.000
2.386 4.132 0.000
2.386 1.377 8.712
Ce Er In Ag
2 1 2 2
Direct
0.139 0.139 0.584 Ce
0.861 0.861 0.416 Ce
0.000 0.000 0.000 Er
0.733 0.733 0.802 In
0.267 0.267 0.198 In
0.600 0.600 0.200 Ag
0.400 0.400 0.800 Ag
```

Crystal system ... trigonal
M_tot ... 1.8 Bohr magnetons per cell
Space group ... R-3m, No. 166
Energy relative to the elements ... -1.59 eV per formula unit

# 15
# La4TeSe2N

A geometry-optimized La4TeSe2N structure (GGA-PBE, the Alexandria database).

```
La4TeSe2N
1.0
4.193 0.000 0.000
-2.097 7.151 0.000
0.000 0.000 15.396
La Te Se N
8 2 4 2
Direct
0.274 0.548 0.128 La
0.726 0.452 0.628 La
0.726 0.452 0.872 La
0.274 0.548 0.372 La
0.000 0.000 0.500 La
0.000 0.000 0.000 La
0.410 0.820 0.750 La
0.590 0.180 0.250 La
0.094 0.188 0.750 Te
0.906 0.812 0.250 Te
0.361 0.723 0.557 Se
0.639 0.277 0.057 Se
0.639 0.277 0.443 Se
0.361 0.723 0.943 Se
0.821 0.642 0.750 N
0.179 0.358 0.250 N
```

Crystal system ... orthorhombic
M_tot ... 0.0 Bohr magnetons per cell
Uncorrected formation energy ... -13.59 eV per formula unit
Space group ... Cmcm, No. 63

# 16
# NdH8Ir2Au

A geometry-optimized NdH8Ir2Au structure (GGA-PBE, the Alexandria database).

```
NdH8Ir2Au
1.0
-4.530 1.901 -0.108
-2.258 0.726 -4.304
-4.403 -4.208 -1.205
Nd H Ir Au
1 8 2 1
Direct
0.500 0.500 0.500 Nd
0.186 0.186 0.442 H
0.585 0.347 0.158 H
0.814 0.814 0.558 H
0.910 0.585 0.158 H
0.090 0.415 0.842 H
0.347 0.910 0.158 H
0.653 0.090 0.842 H
0.415 0.653 0.842 H
0.285 0.285 0.144 Ir
0.715 0.715 0.856 Ir
0.000 0.000 0.000 Au
```

Crystal system ... trigonal
M_tot ... 0.0 Bohr magnetons per cell
Space group ... R-3, No. 148
Final energy ... -4.43 eV/atom

# 17
# ZnCr2Pb

A geometry-optimized ZnCr2Pb structure (GGA-PBE, the Alexandria database).

```
ZnCr2Pb
1.0
5.196 -0.042 0.136
4.153 3.123 0.136
1.564 0.516 4.360
Cr Pb Zn
2 1 1
Direct
0.020 0.020 0.983 Cr
0.723 0.723 0.787 Cr
0.493 0.493 0.507 Pb
0.264 0.264 0.222 Zn
```

Crystal system ... monoclinic
M_tot ... 0.1 Bohr magnetons per cell
Space group ... Cm, No. 8
Energy relative to the elements ... 1.96 eV per formula unit

# 18
# ZrCr2P2

A geometry-optimized ZrCr2P2 structure (GGA-PBE, the Alexandria database).

```
ZrCr2P2
1.0
6.884 0.000 0.000
0.000 6.884 0.000
0.000 0.000 2.937
Cr Zr P
4 2 4
Direct
0.136 0.636 0.500 Cr
0.636 0.864 0.500 Cr
0.864 0.364 0.500 Cr
0.364 0.136 0.500 Cr
0.000 0.000 0.000 Zr
0.500 0.500 0.000 Zr
0.356 0.856 0.000 P
0.856 0.644 0.000 P
0.644 0.144 0.000 P
0.144 0.356 0.000 P
```

Crystal system ... tetragonal
M_tot ... 4.7 Bohr magnetons per cell
Space group ... P4/mbm, No. 127
Energy relative to the elements ... -2.24 eV per formula unit

# 19
# Pb2Au

A geometry-optimized Pb2Au structure (GGA-PBE, the Alexandria database).

```
Pb2Au
1.0
7.539 0.041 0.000
-6.543 3.744 0.000
0.000 0.000 5.895
Au Pb
2 4
Direct
0.017 0.983 0.000 Au
0.427 0.573 0.500 Au
0.368 0.632 0.000 Pb
0.669 0.331 0.000 Pb
0.775 0.225 0.500 Pb
0.076 0.924 0.500 Pb
```

Crystal system ... orthorhombic
M_tot ... 0.0 Bohr magnetons per cell
Space group ... Cmcm, No. 63
Energy relative to the elements ... -0.02 eV per formula unit

# 20
# CaTiFe3

A geometry-optimized CaTiFe3 structure (GGA-PBE, the Alexandria database).

```
CaTiFe3
1.0
4.508 0.000 0.000
0.000 4.508 0.000
0.000 0.000 4.508
Ca Fe Ti
1 3 1
Direct
0.500 0.500 0.500 Ca
0.000 0.500 0.000 Fe
0.000 0.000 0.500 Fe
0.500 0.000 0.000 Fe
0.000 0.000 0.000 Ti
```

Crystal system ... cubic
M_tot ... 5.1 Bohr magnetons per cell
Space group ... Pm-3m, No. 221
ΔE to the lowest computed polymorph ... 0 meV/atom
Energy relative to the elements ... 3.66 eV per formula unit